First-principles (GGA-PBE) data for a relaxed TlSb2Pd crystal, as listed in Alexandria via LeMat-Bulk.

The structure in POSCAR format:
```
TlSb2Pd
1.0
3.249 0.000 0.000
0.000 3.249 0.000
0.000 0.000 9.529
Tl Sb Pd
1 2 1
Direct
0.000 0.000 0.000
0.500 0.500 0.311
0.500 0.500 0.689
0.000 0.000 0.500
```

The energy above the lowest structure with this stoichiometry is 53 meV/atom. Its total energy is -4.11 eV/atom. As for the space-group type: P4/mmm (123). Its formation energy from raw total energies is -0.156 eV per atom.

First-principles (GGA-PBE) data for a relaxed MnNi3Pt4 crystal, as listed in Alexandria via LeMat-Bulk.

The structure in POSCAR format:
```
MnNi3Pt4
1.0
8.762 0.000 0.000
0.000 5.480 0.000
0.000 0.000 4.587
Mn Ni Pt
2 6 8
Direct
0.000 0.000 0.000
0.500 0.000 0.000
0.000 0.500 0.000
0.250 0.000 0.357
0.250 0.500 0.347
0.500 0.500 0.000
0.750 0.000 0.643
0.750 0.500 0.653
0.000 0.251 0.500
0.000 0.749 0.500
0.250 0.254 0.859
0.250 0.746 0.859
0.500 0.251 0.500
0.500 0.749 0.500
0.750 0.254 0.141
0.750 0.746 0.141
```

Its total energy is -6.51 eV/atom. As for the space-group type: Pmma (51).

First-principles (GGA-PBE) data for a relaxed HgPd2Rh2 crystal, as listed in Alexandria via LeMat-Bulk.

The structure in POSCAR format:
```
HgPd2Rh2
1.0
7.611 0.000 0.000
0.000 7.611 0.000
0.000 0.000 2.877
Hg Pd Rh
2 4 4
Direct
0.000 0.000 0.000
0.500 0.500 0.000
0.176 0.324 0.500
0.324 0.824 0.500
0.676 0.176 0.500
0.824 0.676 0.500
0.121 0.621 0.000
0.379 0.121 0.000
0.621 0.879 0.000
0.879 0.379 0.000
```

The energy above the lowest structure with this stoichiometry is 0 meV/atom. Its total energy is -4.83 eV/atom. As for the space-group type: P4/mbm (127).

First-principles (GGA-PBE) data for a relaxed LiSn2Cl crystal, as listed in Alexandria via LeMat-Bulk.

The structure in POSCAR format:
```
LiSn2Cl
1.0
0.000 3.634 3.634
3.634 0.000 3.634
3.634 3.634 0.000
Li Sn Cl
1 2 1
Direct
0.000 0.000 0.000
0.250 0.250 0.250
0.750 0.750 0.750
0.500 0.500 0.500
```

The energy above the lowest structure with this stoichiometry is 413 meV/atom. Its total energy is -2.97 eV/atom. As for the space-group type: Fm-3m (225). Its formation energy from raw total energies is -0.027 eV per atom.

First-principles (GGA-PBE) data for a relaxed Ba2YCrGa crystal, as listed in Alexandria via LeMat-Bulk.

The structure in POSCAR format:
```
Ba2YCrGa
1.0
6.344 0.000 0.000
0.000 6.344 0.000
0.000 0.000 5.764
Ba Y Cr Ga
2 1 1 1
Direct
0.000 0.500 0.000
0.500 0.000 0.000
0.000 0.000 0.500
0.500 0.500 0.500
0.000 0.000 0.000
```

Its total energy is -3.46 eV/atom. As for the space-group type: P4/mmm (123).

First-principles (GGA-PBE) data for a relaxed BiSb2PO crystal, as listed in Alexandria via LeMat-Bulk.

The structure in POSCAR format:
```
BiSb2PO
1.0
4.742 0.000 0.000
0.000 4.742 0.000
0.000 0.000 4.970
Bi Sb P O
1 2 1 1
Direct
0.000 0.000 0.000
0.000 0.500 0.500
0.500 0.000 0.500
0.500 0.500 0.000
0.000 0.000 0.500
```

The energy above the lowest structure with this stoichiometry is 0 meV/atom. Its total energy is -4.22 eV/atom. As for the space-group type: P4/mmm (123). Its formation energy from raw total energies is 0.279 eV per atom.

First-principles (GGA-PBE) data for a relaxed CrNi6Pt2 crystal, as listed in Alexandria via LeMat-Bulk.

The structure in POSCAR format:
```
CrNi6Pt2
1.0
5.457 -1.810 0.000
5.457 1.810 0.000
-1.837 0.000 5.532
Cr Ni Pt
1 6 2
Direct
0.000 0.000 0.000
0.117 0.117 0.682
0.225 0.225 0.327
0.331 0.331 0.998
0.669 0.669 0.002
0.775 0.775 0.673
0.883 0.883 0.318
0.443 0.443 0.672
0.557 0.557 0.328
```

The energy above the lowest structure with this stoichiometry is 0 meV/atom. Its total energy is -6.34 eV/atom. As for the space-group type: C2/m (12).

First-principles (GGA-PBE) data for a relaxed SeS crystal, as listed in Alexandria via LeMat-Bulk.

The structure in POSCAR format:
```
SeS
1.0
2.871 -1.675 0.000
2.871 1.675 0.000
-1.975 0.000 5.386
Se S
1 1
Direct
0.000 0.000 0.000
0.870 0.870 0.621
```

The energy above the lowest structure with this stoichiometry is 176 meV/atom. Its total energy is -3.59 eV/atom. As for the space-group type: Cm (8). Its formation energy from raw total energies is 0.221 eV per atom.